Entry 1:
Density functional theory data (GGA-PBEsol) for a relaxed AlInRe crystal.

Results
* formation energy from the elements: 0.642 eV/atom
* space-group type: No. 216
* distance to the lowest polymorph of the same formula: 0.00 eV/f.u.
* volume: 59.24 Å³ per cell

Unit cell a=4.3757 b=4.3757 c=4.3757 alpha=60.00 beta=60.00 gamma=60.00
Each line ends with the local moment (μB).
Positions (direct):
Re 0.2500 0.2500 0.2500  0.62
Al 0.0000 0.0000 0.0000  -0.01
In 0.5000 0.5000 0.5000  -0.01

***

Entry 2:
Density functional theory data (GGA-PBEsol) for a relaxed Ba2ZnBrCl crystal.

Results
* space-group type: No. 123
* energy relative to the elements, uncorrected: -0.632 eV/atom
* volume: 228.55 Å³ per cell

Unit cell a=6.0585 b=6.0585 c=6.2266 alpha=90.00 beta=90.00 gamma=90.00
Positions (direct):
Zn 0.5000 0.5000 0.5000
Ba 0.0000 0.5000 0.0000
Ba 0.5000 0.0000 0.0000
Br 0.0000 0.0000 0.0000
Cl 0.0000 0.0000 0.5000